w) Ca2CrOs, optimized geometry, DFT PBE; space group = P4/mmm; crystal system = tetragonal
1.0
4.433 0.000 0.000
0.000 4.433 0.000
0.000 0.000 4.349
Ca Cr Os
2 1 1
Direct
0.000 0.500 0.000 Ca
0.500 0.000 0.000 Ca
0.000 0.000 0.500 Cr
0.500 0.500 0.500 Os


x) Ca2CrOs, optimized geometry, DFT PBE; space group = Fm-3m; crystal system = cubic
1.0
0.000 3.447 3.447
3.447 0.000 3.447
3.447 3.447 0.000
Ca Cr Os
2 1 1
Direct
0.250 0.250 0.250 Ca
0.750 0.750 0.750 Ca
0.000 0.000 0.000 Cr
0.500 0.500 0.500 Os


y) Ca2CrOs, optimized geometry, DFT PBE; space group = Pmmm; crystal system = orthorhombic
1.0
3.031 0.000 0.000
0.000 4.413 0.000
0.000 0.000 6.504
Ca Cr Os
2 1 1
Direct
0.000 0.000 0.233 Ca
0.000 0.000 0.767 Ca
0.500 0.500 0.500 Cr
0.500 0.500 0.000 Os


w) is preferred energetically. Next in line: 25 meV per atom higher.